A:
AgB4Pt | PBE-GGA | relaxed

abc: 5.1233 5.1233 5.1233
angles: 149.61 112.76 75.56
Element x y z (fractional)
Ag: 0.0000 0.0000 0.0000
B: 0.1152 0.7629 0.3522
B: 0.4107 0.7629 0.6478
B: 0.5893 0.2371 0.3522
B: 0.8848 0.2371 0.6478
Pt: 0.5000 0.5000 0.0000

=====

B:
AgB4Pt | PBE-GGA | relaxed

abc: 3.0329 3.0329 7.7893
angles: 90.00 90.00 120.00
Element x y z (fractional)
Ag: 0.0000 0.0000 0.0000
B: 0.3333 0.6667 0.2739
B: 0.3333 0.6667 0.7261
B: 0.6667 0.3333 0.2739
B: 0.6667 0.3333 0.7261
Pt: 0.0000 0.0000 0.5000

=====

The least stable of them is B.

=====

A:
RbAgB | PBE-GGA | relaxed

abc: 4.9526 4.9526 4.9526
angles: 60.00 60.00 60.00
Element x y z (fractional)
Rb: 0.0000 0.0000 0.0000
Ag: 0.7500 0.7500 0.7500
B: 0.5000 0.5000 0.5000

=====

B:
RbAgB | PBE-GGA | relaxed

abc: 4.8530 4.8530 4.8530
angles: 60.00 60.00 60.00
Element x y z (fractional)
Rb: 0.0000 0.0000 0.0000
Ag: 0.5000 0.5000 0.5000
B: 0.7500 0.7500 0.7500

=====

The least stable of them is A.

=====

A:
RbAgB4 | PBE-GGA | relaxed

abc: 3.1015 3.1015 8.9986
angles: 90.00 90.00 120.00
Element x y z (fractional)
Rb: 0.0000 0.0000 0.0000
Ag: 0.0000 0.0000 0.5000
B: 0.3333 0.6667 0.2901
B: 0.3333 0.6667 0.7099
B: 0.6667 0.3333 0.2901
B: 0.6667 0.3333 0.7099

=====

B:
RbAgB4 | PBE-GGA | relaxed

abc: 5.9265 5.9265 5.9265
angles: 153.10 122.00 65.06
Element x y z (fractional)
Rb: 0.0000 0.0000 0.0000
Ag: 0.5000 0.5000 0.0000
B: 0.1124 0.7602 0.3523
B: 0.4079 0.7602 0.6477
B: 0.5921 0.2398 0.3523
B: 0.8876 0.2398 0.6477

=====

The least stable of them is B.

=====

A:
ReAgB4 | PBE-GGA | relaxed

abc: 4.6616 4.6616 4.6616
angles: 142.14 110.74 81.74
Element x y z (fractional)
Re: 0.0000 0.0000 0.0000
Ag: 0.5000 0.5000 0.0000
B: 0.0815 0.7440 0.3375
B: 0.4064 0.7440 0.6625
B: 0.5936 0.2560 0.3375
B: 0.9185 0.2560 0.6625

=====

B:
ReAgB4 | PBE-GGA | relaxed

abc: 2.9634 2.9634 7.7896
angles: 90.00 90.00 120.00
Element x y z (fractional)
Re: 0.0000 0.0000 0.0000
Ag: 0.0000 0.0000 0.5000
B: 0.3333 0.6667 0.2166
B: 0.3333 0.6667 0.7834
B: 0.6667 0.3333 0.2166
B: 0.6667 0.3333 0.7834

=====

The least stable of them is A.

=====

A:
ScAgB | PBE-GGA | relaxed

abc: 4.2677 4.2677 4.2677
angles: 60.00 60.00 60.00
Element x y z (fractional)
Sc: 0.0000 0.0000 0.0000
Ag: 0.7500 0.7500 0.7500
B: 0.2500 0.2500 0.2500

=====

B:
ScAgB | PBE-GGA | relaxed

abc: 4.1779 4.1779 4.1779
angles: 60.00 60.00 60.00
Element x y z (fractional)
Sc: 0.0000 0.0000 0.0000
Ag: 0.7500 0.7500 0.7500
B: 0.5000 0.5000 0.5000

=====

The least stable of them is A.

=====

A:
ScAgB4 | PBE-GGA | relaxed

abc: 4.8041 4.8041 4.8041
angles: 142.13 112.75 79.85
Element x y z (fractional)
Sc: 0.0000 0.0000 0.0000
Ag: 0.5000 0.5000 0.0000
B: 0.0579 0.7362 0.3217
B: 0.4145 0.7362 0.6783
B: 0.5855 0.2638 0.3217
B: 0.9421 0.2638 0.6783

=====

B:
ScAgB4 | PBE-GGA | relaxed

abc: 3.1373 3.1373 7.0692
angles: 90.00 90.00 120.00
Element x y z (fractional)
Sc: 0.0000 0.0000 0.0000
Ag: 0.0000 0.0000 0.5000
B: 0.3333 0.6667 0.2353
B: 0.3333 0.6667 0.7647
B: 0.6667 0.3333 0.2353
B: 0.6667 0.3333 0.7647

=====

The least stable of them is B.